Record 1
DFT (PBE-GGA) results for a relaxed structure of NdSi3Ir5.

Space-group type: No. 63
Calculated total energy (eV/cell): -142.9

Cell: 3.9374 6.4963 12.3874 Å, 90.00 90.00 107.64°
Fractional coordinates of all 18 atoms:
Nd 0.8418 0.6836 0.7500
Nd 0.1582 0.3164 0.2500
Si 0.3861 0.7722 0.9587
Si 0.8784 0.7568 0.2500
Si 0.3861 0.7722 0.5413
Si 0.6139 0.2278 0.4587
Si 0.1216 0.2432 0.7500
Si 0.6139 0.2278 0.0413
Ir 0.7957 0.5915 0.4266
Ir 0.2043 0.4085 0.9266
Ir 0.0000 0.0000 0.5000
Ir 0.0000 0.0000 0.0000
Ir 0.4463 0.8925 0.1463
Ir 0.5537 0.1075 0.8537
Ir 0.5537 0.1075 0.6463
Ir 0.7957 0.5915 0.0734
Ir 0.2043 0.4085 0.5734
Ir 0.4463 0.8925 0.3537

---

Record 2
DFT (PBE-GGA) results for a relaxed structure of Nd2Si4Ir3.

Space-group type: No. 69
Calculated total energy (eV/cell): -64.2

Cell: 5.6464 5.6464 6.5968 Å, 102.10 102.10 120.69°
Fractional coordinates of all 9 atoms:
Nd 0.6345 0.6345 0.2690
Nd 0.3655 0.3655 0.7310
Si 0.0195 0.6666 0.6861
Si 0.6666 0.0195 0.6861
Si 0.9805 0.3334 0.3139
Si 0.3334 0.9805 0.3139
Ir 0.5000 0.0000 0.0000
Ir 0.0000 0.0000 0.0000
Ir 0.0000 0.5000 0.0000

---

Record 3
DFT (PBE-GGA) results for a relaxed structure of Nd3Si8Ir3.

Space-group type: No. 71
Calculated total energy (eV/cell): -92.0

Cell: 4.2370 7.9252 7.9252 Å, 75.37 74.50 74.50°
Fractional coordinates of all 14 atoms:
Nd 0.5000 0.5000 0.5000
Nd 0.8073 0.1927 0.1927
Nd 0.1927 0.8073 0.8073
Si 0.6246 0.0877 0.6632
Si 0.3754 0.9123 0.3368
Si 0.6246 0.6632 0.0877
Si 0.3754 0.3368 0.9123
Si 0.8347 0.7991 0.5315
Si 0.1653 0.2009 0.4685
Si 0.8347 0.5315 0.7991
Si 0.1653 0.4685 0.2009
Ir 0.5000 0.0000 0.0000
Ir 0.0000 0.7803 0.2197
Ir 0.0000 0.2197 0.7803

---

Record 4
DFT (PBE-GGA) results for a relaxed structure of NdSmSiIr.

Space-group type: No. 38
Calculated total energy (eV/cell): -26.8

Cell: 4.3035 4.0994 5.7809 Å, 90.00 111.85 90.00°
Fractional coordinates of all 4 atoms:
Nd 0.1453 0.0000 0.2906
Sm 0.8620 0.5000 0.7240
Si 0.5635 0.5000 0.1269
Ir 0.4293 0.0000 0.8585

---

Record 5
DFT (PBE-GGA) results for a relaxed structure of Nd2TaSi4Ir3.

Space-group type: No. 115
Calculated total energy (eV/cell): -78.3

Cell: 4.1593 4.1593 10.4493 Å, 90.00 90.00 90.00°
Fractional coordinates of all 10 atoms:
Nd 0.5000 0.0000 0.2393
Nd 0.0000 0.5000 0.7607
Ta 0.5000 0.5000 0.5000
Si 0.5000 0.5000 0.0000
Si 0.0000 0.0000 0.0000
Si 0.5000 0.0000 0.6472
Si 0.0000 0.5000 0.3528
Ir 0.0000 0.0000 0.5000
Ir 0.5000 0.0000 0.8803
Ir 0.0000 0.5000 0.1197

---

Record 6
DFT (PBE-GGA) results for a relaxed structure of Nd2TaSi3Ir4.

Space-group type: No. 115
Calculated total energy (eV/cell): -82.5

Cell: 4.1693 4.1693 10.4315 Å, 90.00 90.00 90.00°
Fractional coordinates of all 10 atoms:
Nd 0.5000 0.0000 0.2408
Nd 0.0000 0.5000 0.7592
Ta 0.5000 0.5000 0.5000
Si 0.0000 0.0000 0.5000
Si 0.5000 0.0000 0.8756
Si 0.0000 0.5000 0.1244
Ir 0.5000 0.5000 0.0000
Ir 0.0000 0.0000 0.0000
Ir 0.5000 0.0000 0.6409
Ir 0.0000 0.5000 0.3591